[1]
VASP calculation (PBE) on a relaxed NbFeRe crystal.

a = 2.663 Å, b = 4.435 Å, c = 4.435 Å
α = 120.00°, β = 90.00°, γ = 90.00°
Element x y z (fractional)
Nb (0.999, 0.000, 0.000)
Re (0.338, 0.667, 0.333)
Fe (0.663, 0.333, 0.667)

Properties
Symmetry: P3m1
Excess energy over the best structure of this formula in the dataset: 0 meV/atom
Formation energy: 0.024 eV/atom
Total DFT energy (no corrections): -30.91 eV/cell

[2]
VASP calculation (PBE) on a relaxed Li2NiCl crystal.

a = 6.729 Å, b = 6.729 Å, c = 5.491 Å
α = 52.21°, β = 52.21°, γ = 90.00°
Element x y z (fractional)
Li (0.875, 0.846, 0.750)
Li (0.375, 0.404, 0.750)
Li (0.596, 0.125, 0.250)
Li (0.154, 0.625, 0.250)
Ni (0.750, 0.250, 0.500)
Ni (0.000, 0.000, 0.000)
Cl (0.500, 0.500, 0.000)
Cl (0.250, 0.750, 0.500)

Properties
Symmetry: I-42d
Excess energy over the best structure of this formula in the dataset: 279 meV/atom
ΔE_f (raw): -0.2229 eV per atom
Total DFT energy (no corrections): -24.69 eV/cell

[3]
VASP calculation (PBE) on a relaxed K2MnHg crystal.

a = 12.168 Å, b = 12.168 Å, c = 8.999 Å
α = 47.46°, β = 47.46°, γ = 90.00°
Element x y z (fractional)
K (0.772, 0.125, 0.250)
K (0.978, 0.625, 0.250)
K (0.875, 0.022, 0.750)
K (0.375, 0.228, 0.750)
Mn (0.250, 0.750, 0.500)
Mn (0.500, 0.500, 0.000)
Hg (0.000, 0.000, 0.000)
Hg (0.750, 0.250, 0.500)

Properties
Symmetry: I-42d
Formation energy: 0.450 eV/atom
Total DFT energy (no corrections): -19.73 eV/cell

[4]
VASP calculation (PBE) on a relaxed Nd2DyHgN crystal.

a = 4.770 Å, b = 5.044 Å, c = 5.044 Å
α = 90.00°, β = 90.00°, γ = 90.00°
Element x y z (fractional)
N (0.000, 0.000, 0.000)
Hg (0.500, 0.500, 0.500)
Nd (0.000, 0.500, 0.000)
Nd (0.000, 0.000, 0.500)
Dy (0.500, 0.000, 0.000)

Properties
Symmetry: P4/mmm
ΔE_f (raw): -0.8075 eV per atom
Total DFT energy (no corrections): -26.80 eV/cell

[5]
VASP calculation (PBE) on a relaxed Rb3Hg7Pt2 crystal.

a = 5.409 Å, b = 5.419 Å, c = 13.609 Å
α = 101.48°, β = 90.00°, γ = 90.00°
Element x y z (fractional)
Hg (0.500, 0.099, 0.199)
Hg (0.000, 0.600, 0.199)
Hg (0.000, 0.208, 0.416)
Hg (0.000, 0.792, 0.584)
Hg (0.500, 0.901, 0.801)
Hg (0.000, 0.000, 0.000)
Hg (0.000, 0.400, 0.801)
Rb (0.500, 0.500, 0.000)
Rb (0.500, 0.689, 0.377)
Rb (0.500, 0.311, 0.623)
Pt (0.000, 0.898, 0.796)
Pt (0.000, 0.102, 0.204)

Properties
Symmetry: Cmmm
Excess energy over the best structure of this formula in the dataset: 2 meV/atom
Formation energy: -0.258 eV/atom
Total DFT energy (no corrections): -20.20 eV/cell

[6]
VASP calculation (PBE) on a relaxed CuGe2TeRu crystal.

a = 4.679 Å, b = 5.054 Å, c = 4.679 Å
α = 90.00°, β = 90.00°, γ = 90.00°
Element x y z (fractional)
Te (0.500, 0.500, 0.500)
Ge (0.500, 0.000, 0.000)
Ge (0.000, 0.000, 0.500)
Cu (0.000, 0.500, 0.000)
Ru (0.000, 0.000, 0.000)

Properties
Symmetry: P4/mmm
ΔE_f (raw): 0.3876 eV per atom
Total DFT energy (no corrections): -23.81 eV/cell

[7]
VASP calculation (PBE) on a relaxed SnHg2Bi2 crystal.

a = 9.015 Å, b = 9.015 Å, c = 3.555 Å
α = 90.00°, β = 90.00°, γ = 90.00°
Element x y z (fractional)
Bi (0.178, 0.678, 0.500)
Bi (0.322, 0.178, 0.500)
Bi (0.678, 0.822, 0.500)
Bi (0.822, 0.322, 0.500)
Hg (0.122, 0.378, 0.000)
Hg (0.878, 0.622, 0.000)
Hg (0.622, 0.122, 0.000)
Hg (0.378, 0.878, 0.000)
Sn (0.500, 0.500, 0.000)
Sn (0.000, 0.000, 0.000)

Properties
Symmetry: P4/mbm
Excess energy over the best structure of this formula in the dataset: 84 meV/atom
Formation energy: 0.160 eV/atom
Total DFT energy (no corrections): -23.14 eV/cell

[8]
VASP calculation (PBE) on a relaxed YSi3 crystal.

a = 5.325 Å, b = 5.325 Å, c = 5.325 Å
α = 116.02°, β = 116.02°, γ = 116.02°
Element x y z (fractional)
Si (0.000, 0.000, 0.000)
Si (0.500, 0.000, 0.500)
Si (0.000, 0.500, 0.500)
Y (0.500, 0.500, 0.000)

Properties
Symmetry: R-3m
ΔE_f (raw): 0.1395 eV per atom
Total DFT energy (no corrections): -22.18 eV/cell